Entry from the Alexandria database: Er2MnN after structural relaxation (PBE).

Computed properties:
Theoretical density   8.222 g/cm³
DOS(E_F)   2.11 states/eV/cell
V   20.37 A^3/atom
E_form (uncorrected)   -377 meV per atom

Cell: 3.328 3.328 8.708 Å, 78.98 78.98 60.00°
Each line ends with the local moment (μB).
Element x y z (fractional)
1 N 0.500 0.500 0.500  0.01
2 Mn 0.000 0.000 0.000  3.90
3 Er 0.114 0.114 0.658  -0.28
4 Er 0.886 0.886 0.342  -0.28

***

Entry from the Alexandria database: Nd2ErMnN4 after structural relaxation (PBE).

Computed properties:
Theoretical density   7.757 g/cm³
DOS(E_F)   6.37 states/eV/cell
V   15.16 A^3/atom
E_form (uncorrected)   -934 meV per atom

Cell: 3.410 6.159 12.023 Å, 90.00 90.00 106.07°
Element x y z (fractional)
1 Nd 0.367 0.735 0.542
2 Nd 0.633 0.265 0.042
3 Nd 0.633 0.265 0.458
4 Nd 0.367 0.735 0.958
5 Er 0.131 0.261 0.750
6 Er 0.869 0.739 0.250
7 Mn 0.844 0.689 0.750
8 Mn 0.156 0.311 0.250
9 N 0.273 0.545 0.142
10 N 0.727 0.455 0.642
11 N 0.727 0.455 0.858
12 N 0.273 0.545 0.358
13 N 0.000 0.000 0.500
14 N 0.000 0.000 0.000
15 N 0.412 0.824 0.750
16 N 0.588 0.176 0.250

***

Entry from the Alexandria database: NdEr2MnN4 after structural relaxation (PBE).

Computed properties:
Theoretical density   8.857 g/cm³
DOS(E_F)   6.98 states/eV/cell
V   13.82 A^3/atom
E_form (uncorrected)   -1226 meV per atom

Cell: 3.390 5.953 11.430 Å, 90.00 90.00 106.54°
Each line ends with the local moment (μB).
Element x y z (fractional)
1 Nd 0.099 0.199 0.750  -0.02
2 Nd 0.901 0.801 0.250  -0.02
3 Er 0.369 0.737 0.544  -0.01
4 Er 0.631 0.263 0.044  -0.01
5 Er 0.631 0.263 0.456  -0.01
6 Er 0.369 0.737 0.956  -0.01
7 Mn 0.836 0.672 0.750  0.74
8 Mn 0.164 0.328 0.250  0.74
9 N 0.265 0.530 0.127  0.02
10 N 0.735 0.470 0.627  0.02
11 N 0.735 0.470 0.873  0.02
12 N 0.265 0.530 0.373  0.02
13 N 0.000 0.000 0.500  0.02
14 N 0.000 0.000 0.000  0.02
15 N 0.420 0.839 0.750  -0.01
16 N 0.580 0.161 0.250  -0.01

***

Entry from the Alexandria database: ErPa2MnN4 after structural relaxation (PBE).

Computed properties:
Theoretical density   11.685 g/cm³
DOS(E_F)   8.70 states/eV/cell
V   13.15 A^3/atom
E_form (uncorrected)   -1102 meV per atom

Cell: 6.663 6.663 6.534 Å, 119.36 119.36 89.17°
Element x y z (fractional)
1 Er 0.000 0.500 0.000
2 Er 0.000 0.500 0.500
3 Pa 0.500 0.000 0.000
4 Pa 0.500 0.000 0.500
5 Pa 0.000 0.000 0.500
6 Pa 0.500 0.500 0.000
7 Mn 0.500 0.500 0.500
8 Mn 0.000 0.000 0.000
9 N 0.238 0.754 0.996
10 N 0.746 0.262 0.504
11 N 0.254 0.738 0.496
12 N 0.762 0.246 0.004
13 N 0.749 0.750 0.977
14 N 0.750 0.751 0.523
15 N 0.250 0.249 0.477
16 N 0.251 0.250 0.023

***

Entry from the Alexandria database: ErPa3Mn4N12 after structural relaxation (PBE).

Computed properties:
Theoretical density   6.863 g/cm³
DOS(E_F)   7.55 states/eV/cell
V   15.10 A^3/atom
E_form (uncorrected)   -568 meV per atom

Cell: 7.012 7.012 7.012 Å, 104.91 104.91 104.91°
Each line ends with the local moment (μB).
Element x y z (fractional)
1 Er 0.000 0.000 0.000  0.06
2 Pa 0.544 0.456 0.000  0.26
3 Pa 0.456 0.000 0.544  0.26
4 Pa 0.000 0.544 0.456  0.26
5 Mn 0.955 0.045 0.500  2.14
6 Mn 0.045 0.500 0.955  2.14
7 Mn 0.500 0.955 0.045  2.14
8 Mn 0.500 0.500 0.500  2.37
9 N 0.500 0.344 0.656  -0.04
10 N 0.888 0.500 0.112  -0.03
11 N 0.112 0.888 0.500  -0.03
12 N 0.500 0.112 0.888  -0.03
13 N 0.340 0.973 0.196  -0.06
14 N 0.196 0.340 0.973  -0.06
15 N 0.973 0.196 0.340  -0.06
16 N 0.660 0.804 0.027  -0.06
17 N 0.027 0.660 0.804  -0.06
18 N 0.804 0.027 0.660  -0.06
19 N 0.656 0.500 0.344  -0.04
20 N 0.344 0.656 0.500  -0.04

***

Entry from the Alexandria database: ErPaMnN4 after structural relaxation (PBE).

Computed properties:
Theoretical density   10.397 g/cm³
DOS(E_F)   2.71 states/eV/cell
V   11.62 A^3/atom
E_form (uncorrected)   -1127 meV per atom

Cell: 3.677 3.677 6.555 Å, 106.29 106.29 90.00°
Each line ends with the local moment (μB).
Element x y z (fractional)
1 Er 0.643 0.643 0.285  0.01
2 Pa 0.358 0.358 0.716  0.04
3 Mn 0.999 0.999 0.999  0.44
4 N 0.996 0.496 0.993  0.01
5 N 0.496 0.996 0.993  0.01
6 N 0.828 0.828 0.655  -0.01
7 N 0.180 0.180 0.359  -0.01

***

Q: Which of these has the highest theoretical density?
A: ErPa2MnN4